First-principles (GGA-PBE) data for a geometry-optimized LiGdCdAu structure, as listed in the Alexandria database.

Computed properties:
Calculated formation energy ... -0.45 eV/atom

a b c (Å): 7.063 7.063 7.063
angles (deg): 90.00 90.00 90.00
Space group F-43m (No. 216)
Asymmetric unit:
Li1 0.000 0.000 0.000 [4 per cell]
Gd1 0.000 0.000 0.500 [4 per cell]
Cd1 0.250 0.250 0.750 [4 per cell]
Au1 0.250 0.250 0.250 [4 per cell]

First-principles (GGA-PBE) data for a geometry-optimized CaSb6 structure, as listed in the Alexandria database.

Computed properties:
Formation energy from raw total energies ... 0.31 eV per atom

a b c (Å): 8.402 8.402 8.402
angles (deg): 90.00 90.00 90.00
Space group Im-3m (No. 229)
Asymmetric unit:
Ca1 0.000 0.000 0.000 [2 per cell]
Sb1 0.000 0.250 0.500 [12 per cell]

First-principles (GGA-PBE) data for a geometry-optimized YTlZn structure, as listed in the Alexandria database.

Computed properties:
Calculated formation energy ... -0.27 eV/atom

a b c (Å): 8.175 4.717 8.023
angles (deg): 90.00 109.94 90.00
Space group Cm (No. 8)
Asymmetric unit:
Y1 0.000 0.000 0.000 [2 per cell]
Y2 0.166 0.000 0.498 [2 per cell]
Tl1 0.088 0.500 0.761 [2 per cell]
Tl2 0.408 0.000 0.223 [2 per cell]
Zn1 0.258 0.500 0.274 [2 per cell]
Zn2 0.374 0.500 0.620 [2 per cell]

no.,raw total energy (eV/atom)
1,-5.4922
2,-3.5128
3,-3.6406